[1]
## SiSb2Se (SCAN)

Data for a crystal of SiSb2Se relaxed with PBEsol.

Lattice parameters (Å, degrees): 4.997 4.997 4.997 108.23 110.10 110.10
Fractional positions:
Se1 0.000 0.000 0.000
Sb1 0.500 0.000 0.500
Sb2 0.500 0.500 0.000
Si1 0.000 0.500 0.500

## Properties
The spin magnetization comes out at 0.00 μB per formula unit. For the uncorrected formation energy, the calculation gives 0.220 eV per atom.

=====

[2]
## CaHf3Ir (SCAN)

Data for a crystal of CaHf3Ir relaxed with PBEsol.

Lattice parameters (Å, degrees): 5.056 5.056 5.056 90.00 90.00 90.00
Fractional positions:
Hf1 0.500 0.000 0.000
Hf2 0.000 0.000 0.500
Hf3 0.000 0.500 0.000
Ir1 0.000 0.000 0.000
Ca1 0.500 0.500 0.500

## Properties
The spin magnetization comes out at 0.05 μB per formula unit. The value obtained for the formation energy is -0.01 kcal/mol of atoms.

=====

[3]
## LiMnTe3 (SCAN)

Data for a crystal of LiMnTe3 relaxed with PBEsol.

Lattice parameters (Å, degrees): 5.008 5.008 5.008 90.00 90.00 90.00
Fractional positions:
Te1 0.500 0.000 0.000
Te2 0.000 0.000 0.500
Te3 0.000 0.500 0.000
Li1 0.000 0.000 0.000
Mn1 0.500 0.500 0.500

## Properties
The spin magnetization comes out at 4.27 μB per formula unit. For the uncorrected formation energy, the calculation gives 0.301 eV per atom.

=====

[4]
## ZnSb2Se (SCAN)

Data for a crystal of ZnSb2Se relaxed with PBEsol.

Lattice parameters (Å, degrees): 3.955 3.955 7.214 74.09 74.09 60.00
Fractional positions:
Se1 0.500 0.500 0.500
Sb1 0.741 0.741 0.777
Sb2 0.259 0.259 0.223
Zn1 0.000 0.000 0.000

## Properties
The spin magnetization comes out at 0.00 μB per formula unit. For the uncorrected formation energy, the calculation gives 0.062 eV per atom.

=====

[5]
## Ba2SmTaO6 (SCAN)

Data for a crystal of Ba2SmTaO6 relaxed with PBEsol.

Lattice parameters (Å, degrees): 6.037 6.037 6.037 60.00 60.00 60.00
Fractional positions:
O1 0.267 0.267 0.733
O2 0.733 0.267 0.267
O3 0.267 0.733 0.733
O4 0.267 0.733 0.267
O5 0.733 0.733 0.267
O6 0.733 0.267 0.733
Ba1 0.750 0.750 0.750
Ba2 0.250 0.250 0.250
Sm1 0.000 0.000 0.000
Ta1 0.500 0.500 0.500

## Properties
The spin magnetization comes out at 0.00 μB per formula unit. For the uncorrected formation energy, the calculation gives -3.400 eV per atom.

=====

[6]
## ReN2 (SCAN)

Data for a crystal of ReN2 relaxed with PBEsol.

Lattice parameters (Å, degrees): 2.806 3.671 5.717 95.74 90.00 112.47
Fractional positions:
Re1 0.325 0.651 0.769
Re2 0.675 0.349 0.231
N1 0.903 0.806 0.529
N2 0.373 0.746 0.136
N3 0.097 0.194 0.471
N4 0.627 0.254 0.864

## Properties
The spin magnetization comes out at 0.00 μB per formula unit. For the uncorrected formation energy, the calculation gives 0.115 eV per atom.